*i*
Computed, not measured: an optimized crystal structure of ReCS3 at the PBE level of DFT.

Lattice parameters (Å, degrees): 3.9668 3.9668 3.9668 90.00 90.00 90.00
Last column: nearest neighbours and their distance in Å.
Space group Pm-3m (No. 221)
Asymmetric unit:
Re  0.0000  0.0000  0.0000 (multiplicity 1)  12 S 2.80
C  0.5000  0.5000  0.5000 (multiplicity 1)  6 S 1.98
S  0.0000  0.5000  0.5000 (multiplicity 3)  2 C 1.98

*ii*
Computed, not measured: an optimized crystal structure of ReCS3 at the PBE level of DFT.

Lattice parameters (Å, degrees): 4.6112 4.6112 4.6112 90.00 90.00 90.00
Last column: nearest neighbours and their distance in Å.
Space group Pm-3m (No. 221)
Asymmetric unit:
Re  0.0000  0.0000  0.0000 (multiplicity 1)  6 S 2.31
C  0.5000  0.5000  0.5000 (multiplicity 1)  12 S 3.26
S  0.0000  0.0000  0.5000 (multiplicity 3)  2 Re 2.31

Result of the stability comparison: *i* is the most stable of them.

*i*
Computed, not measured: an optimized crystal structure of ReC3S at the PBE level of DFT.

Lattice parameters (Å, degrees): 3.6016 3.6016 3.6016 90.00 90.00 90.00
Last column: nearest neighbours and their distance in Å.
Space group Pm-3m (No. 221)
Asymmetric unit:
Re  0.0000  0.0000  0.0000 (multiplicity 1)  12 C 2.55
C  0.0000  0.5000  0.5000 (multiplicity 3)  2 S 1.80
S  0.5000  0.5000  0.5000 (multiplicity 1)  6 C 1.80

*ii*
Computed, not measured: an optimized crystal structure of ReC3S at the PBE level of DFT.

Lattice parameters (Å, degrees): 4.0815 4.0815 4.0815 90.00 90.00 90.00
Last column: nearest neighbours and their distance in Å.
Space group Pm-3m (No. 221)
Asymmetric unit:
Re  0.0000  0.0000  0.0000 (multiplicity 1)  6 C 2.04
C  0.0000  0.0000  0.5000 (multiplicity 3)  2 Re 2.04
S  0.5000  0.5000  0.5000 (multiplicity 1)  12 C 2.89

Result of the stability comparison: *ii* is the most stable of them.

*i*
Computed, not measured: an optimized crystal structure of ReSbC3 at the PBE level of DFT.

Lattice parameters (Å, degrees): 4.1144 4.1144 4.1144 90.00 90.00 90.00
Last column: nearest neighbours and their distance in Å.
Space group Pm-3m (No. 221)
Asymmetric unit:
Re  0.0000  0.0000  0.0000 (multiplicity 1)  12 C 2.91
Sb  0.5000  0.5000  0.5000 (multiplicity 1)  6 C 2.06
C  0.0000  0.5000  0.5000 (multiplicity 3)  2 Sb 2.06

*ii*
Computed, not measured: an optimized crystal structure of ReSbC3 at the PBE level of DFT.

Lattice parameters (Å, degrees): 4.0851 4.0851 4.0851 90.00 90.00 90.00
Last column: nearest neighbours and their distance in Å.
Space group Pm-3m (No. 221)
Asymmetric unit:
Re  0.0000  0.0000  0.0000 (multiplicity 1)  6 C 2.04
Sb  0.5000  0.5000  0.5000 (multiplicity 1)  12 C 2.89
C  0.0000  0.0000  0.5000 (multiplicity 3)  2 Re 2.04

Result of the stability comparison: *ii* is the most stable of them.

*i*
Computed, not measured: an optimized crystal structure of Sc2ReC2 at the PBE level of DFT.

Lattice parameters (Å, degrees): 6.2665 4.7719 9.3508 90.00 90.00 90.00
Last column: nearest neighbours and their distance in Å.
Space group Pnma (No. 62)
Asymmetric unit:
Sc  0.0470  0.2500  0.2199 (multiplicity 4)  4 C 2.33-2.40
Sc  0.1628  0.2500  0.5631 (multiplicity 4)  5 C 2.34-2.39
Re  0.1955  0.2500  0.8799 (multiplicity 4)  3 C 1.94-2.03
C  0.0724  0.7500  0.2431 (multiplicity 4)  2 Re 1.94-2.03
C  0.1619  0.7500  0.5650 (multiplicity 4)  1 Re 1.95

*ii*
Computed, not measured: an optimized crystal structure of Sc2ReC2 at the PBE level of DFT.

Lattice parameters (Å, degrees): 5.9809 5.9809 3.3885 90.00 90.00 90.00
Last column: nearest neighbours and their distance in Å.
Space group P4/mbm (No. 127)
Asymmetric unit:
Sc  0.1643  0.3357  0.0000 (multiplicity 4)  6 C 2.31-2.54
Re  0.0000  0.0000  0.5000 (multiplicity 2)  4 C 2.28
C  0.1508  0.6508  0.5000 (multiplicity 4)  2 Re 2.28, 6 Sc 2.31-2.54

Result of the stability comparison: *i* is the most stable of them.

*i*
Computed, not measured: an optimized crystal structure of ReC3Se at the PBE level of DFT.

Lattice parameters (Å, degrees): 3.8092 3.8092 3.8092 90.00 90.00 90.00
Last column: nearest neighbours and their distance in Å.
Space group Pm-3m (No. 221)
Asymmetric unit:
Re  0.0000  0.0000  0.0000 (multiplicity 1)  12 C 2.69
C  0.0000  0.5000  0.5000 (multiplicity 3)  2 Se 1.90
Se  0.5000  0.5000  0.5000 (multiplicity 1)  6 C 1.90

*ii*
Computed, not measured: an optimized crystal structure of ReC3Se at the PBE level of DFT.

Lattice parameters (Å, degrees): 4.0935 4.0935 4.0935 90.00 90.00 90.00
Last column: nearest neighbours and their distance in Å.
Space group Pm-3m (No. 221)
Asymmetric unit:
Re  0.0000  0.0000  0.0000 (multiplicity 1)  6 C 2.05
C  0.0000  0.0000  0.5000 (multiplicity 3)  2 Re 2.05
Se  0.5000  0.5000  0.5000 (multiplicity 1)  12 C 2.89

Result of the stability comparison: *ii* is the most stable of them.

*i*
Computed, not measured: an optimized crystal structure of Sm2ReC2 at the PBE level of DFT.

Lattice parameters (Å, degrees): 6.6743 5.2766 10.0866 90.00 90.00 90.00
Last column: nearest neighbours and their distance in Å.
Space group Pnma (No. 62)
Asymmetric unit:
Sm  0.0278  0.2500  0.2145 (multiplicity 4)  4 C 2.60-2.83
Sm  0.1852  0.2500  0.5523 (multiplicity 4)  5 C 2.56-2.65
Re  0.2269  0.2500  0.8606 (multiplicity 4)  3 C 1.92-2.05
C  0.0382  0.7500  0.2414 (multiplicity 4)  2 Re 1.98-2.05
C  0.1839  0.7500  0.5418 (multiplicity 4)  1 Re 1.92

*ii*
Computed, not measured: an optimized crystal structure of Sm2ReC2 at the PBE level of DFT.

Lattice parameters (Å, degrees): 11.3985 5.2906 6.7738 90.00 119.32 90.00
Last column: nearest neighbours and their distance in Å.
Space group C2/m (No. 12)
Asymmetric unit:
Sm  0.0338  0.0000  0.2821 (multiplicity 4)  4 C 2.46-2.66
Sm  0.1802  0.5000  0.1284 (multiplicity 4)  5 C 2.54-2.77
Re  0.1370  0.5000  0.6304 (multiplicity 4)  3 C 1.94-2.09
C  0.0062  0.5000  0.2810 (multiplicity 4)  2 Re 2.00-2.09
C  0.1823  0.0000  0.1138 (multiplicity 4)  1 Re 1.94

Result of the stability comparison: *i* is the most stable of them.

*i*
Computed, not measured: an optimized crystal structure of Sm2ReC3 at the PBE level of DFT.

Lattice parameters (Å, degrees): 3.6129 3.9831 12.9710 90.00 90.00 90.00
Last column: nearest neighbours and their distance in Å.
Space group Immm (No. 71)
Asymmetric unit:
Sm  0.0000  0.0000  0.1476 (multiplicity 4)  7 C 2.53-2.69
Re  0.0000  0.0000  0.5000 (multiplicity 2)  4 C 1.99-2.04
C  0.0000  0.0000  0.3429 (multiplicity 4)  1 Re 2.04
C  0.0000  0.5000  0.5000 (multiplicity 2)  2 Re 1.99

*ii*
Computed, not measured: an optimized crystal structure of Sm2ReC3 at the PBE level of DFT.

Lattice parameters (Å, degrees): 5.7644 11.0768 12.4774 90.00 90.00 90.00
Last column: nearest neighbours and their distance in Å.
Space group Cmce (No. 64)
Asymmetric unit:
Sm  0.0000  0.0494  0.1420 (multiplicity 8)  2 C 2.44-2.63
Sm  0.0000  0.1428  0.5825 (multiplicity 8)  5 C 2.49-2.73
Re  0.0000  0.2454  0.3433 (multiplicity 8)  4 C 1.91-1.93
C  0.0000  0.0758  0.3723 (multiplicity 8)  1 Re 1.91
C  0.0000  0.1524  0.9689 (multiplicity 8)  1 Re 1.93
C  0.2500  0.2090  0.7500 (multiplicity 8)  2 Re 1.92

Result of the stability comparison: *ii* is the most stable of them.

*i*
Computed, not measured: an optimized crystal structure of Re2SnC at the PBE level of DFT.

Lattice parameters (Å, degrees): 6.1320 6.1320 6.1320 90.00 90.00 90.00
Last column: nearest neighbours and their distance in Å.
Space group Fm-3m (No. 225)
Asymmetric unit:
Re  0.2500  0.2500  0.2500 (multiplicity 8)  4 Sn 2.66, 4 C 2.66
Sn  0.0000  0.0000  0.0000 (multiplicity 4)  8 Re 2.66
C  0.0000  0.0000  0.5000 (multiplicity 4)  8 Re 2.66

*ii*
Computed, not measured: an optimized crystal structure of Re2SnC at the PBE level of DFT.

Lattice parameters (Å, degrees): 4.8594 4.8594 12.4631 90.00 90.00 90.00
Last column: nearest neighbours and their distance in Å.
Space group I-42d (No. 122)
Asymmetric unit:
Re  0.0924  0.2500  0.1250 (multiplicity 8)  2 C 2.03
Sn  0.0000  0.0000  0.5000 (multiplicity 4)  4 Re 2.80
C  0.0000  0.0000  0.0000 (multiplicity 4)  4 Re 2.03

Result of the stability comparison: *ii* is the most stable of them.

*i*
Computed, not measured: an optimized crystal structure of SrRe3C at the PBE level of DFT.

Lattice parameters (Å, degrees): 4.2928 4.2928 4.2928 90.00 90.00 90.00
Last column: nearest neighbours and their distance in Å.
Space group Pm-3m (No. 221)
Asymmetric unit:
Sr  0.0000  0.0000  0.0000 (multiplicity 1)  12 Re 3.04
Re  0.0000  0.5000  0.5000 (multiplicity 3)  2 C 2.15
C  0.5000  0.5000  0.5000 (multiplicity 1)  6 Re 2.15

*ii*
Computed, not measured: an optimized crystal structure of SrRe3C at the PBE level of DFT.

Lattice parameters (Å, degrees): 4.7709 4.7709 4.7709 90.00 90.00 90.00
Last column: nearest neighbours and their distance in Å.
Space group Pm-3m (No. 221)
Asymmetric unit:
Sr  0.0000  0.0000  0.0000 (multiplicity 1)  6 Re 2.39
Re  0.0000  0.0000  0.5000 (multiplicity 3)  2 Sr 2.39
C  0.5000  0.5000  0.5000 (multiplicity 1)  12 Re 3.37

Result of the stability comparison: *i* is the most stable of them.

*i*
Computed, not measured: an optimized crystal structure of TaReC2 at the PBE level of DFT.

Lattice parameters (Å, degrees): 5.4874 5.4874 5.4874 90.00 90.00 90.00
Last column: nearest neighbours and their distance in Å.
Space group Fm-3m (No. 225)
Asymmetric unit:
Ta  0.0000  0.0000  0.0000 (multiplicity 4)  8 C 2.38
Re  0.0000  0.0000  0.5000 (multiplicity 4)  8 C 2.38
C  0.2500  0.2500  0.2500 (multiplicity 8)  4 Ta 2.38, 4 Re 2.38

*ii*
Computed, not measured: an optimized crystal structure of TaReC2 at the PBE level of DFT.

Lattice parameters (Å, degrees): 4.6951 4.6951 9.6336 90.00 90.00 90.00
Last column: nearest neighbours and their distance in Å.
Space group I-42d (No. 122)
Asymmetric unit:
Ta  0.0000  0.0000  0.0000 (multiplicity 4)  4 C 2.10
Re  0.0000  0.0000  0.5000 (multiplicity 4)  4 C 2.00
C  0.2310  0.2500  0.6250 (multiplicity 8)  2 Re 2.00, 2 Ta 2.10

Result of the stability comparison: *ii* is the most stable of them.

*i*
Computed, not measured: an optimized crystal structure of TaRe3C at the PBE level of DFT.

Lattice parameters (Å, degrees): 4.7585 4.7585 4.7585 90.00 90.00 90.00
Last column: nearest neighbours and their distance in Å.
Space group Pm-3m (No. 221)
Asymmetric unit:
Ta  0.0000  0.0000  0.0000 (multiplicity 1)  6 Re 2.38
Re  0.0000  0.0000  0.5000 (multiplicity 3)  2 Ta 2.38
C  0.5000  0.5000  0.5000 (multiplicity 1)  12 Re 3.36

*ii*
Computed, not measured: an optimized crystal structure of TaRe3C at the PBE level of DFT.

Lattice parameters (Å, degrees): 4.1185 4.1185 4.1185 90.00 90.00 90.00
Last column: nearest neighbours and their distance in Å.
Space group Pm-3m (No. 221)
Asymmetric unit:
Ta  0.0000  0.0000  0.0000 (multiplicity 1)  12 Re 2.91
Re  0.0000  0.5000  0.5000 (multiplicity 3)  2 C 2.06
C  0.5000  0.5000  0.5000 (multiplicity 1)  6 Re 2.06

Result of the stability comparison: *ii* is the most stable of them.

*i*
Computed, not measured: an optimized crystal structure of Tb2ReC2 at the PBE level of DFT.

Lattice parameters (Å, degrees): 11.2111 5.1607 6.6762 90.00 118.76 90.00
Last column: nearest neighbours and their distance in Å.
Space group C2/m (No. 12)
Asymmetric unit:
Tb  0.0318  0.0000  0.2779 (multiplicity 4)  4 C 2.41-2.60
Tb  0.1790  0.5000  0.1259 (multiplicity 4)  5 C 2.48-2.71
Re  0.1381  0.5000  0.6297 (multiplicity 4)  3 C 1.94-2.09
C  0.0067  0.5000  0.2767 (multiplicity 4)  2 Re 2.00-2.09
C  0.1804  0.0000  0.1105 (multiplicity 4)  1 Re 1.94

*ii*
Computed, not measured: an optimized crystal structure of Tb2ReC2 at the PBE level of DFT.

Lattice parameters (Å, degrees): 6.6023 5.1577 9.9087 90.00 90.00 90.00
Last column: nearest neighbours and their distance in Å.
Space group Pnma (No. 62)
Asymmetric unit:
Tb  0.0307  0.2500  0.2156 (multiplicity 4)  4 C 2.54-2.72
Tb  0.1814  0.2500  0.5546 (multiplicity 4)  5 C 2.51-2.59
Re  0.2226  0.2500  0.8645 (multiplicity 4)  3 C 1.93-2.05
C  0.0437  0.7500  0.2410 (multiplicity 4)  2 Re 1.97-2.05
C  0.1790  0.7500  0.5477 (multiplicity 4)  1 Re 1.93

Result of the stability comparison: *ii* is the most stable of them.